Record 1
CaTb2Sm: relaxed, PBE.

**Formation energy from the elements**: 0.117 eV/atom
**DOS at the Fermi energy**: 6.82 states/eV/cell
**Polymorph energy (0 for the lowest one)**: 59.6 meV per atom
**ρ**: 6.22 g/cm³

abc: 5.120 5.120 5.173
angles: 90.00 90.00 90.00
Space group P4/mmm (No. 123)
One atom of each set of equivalent atoms:
1 Ca 0.000 0.000 0.000
2 Tb 0.000 0.500 0.500
3 Sm 0.500 0.500 0.000

***

Record 2
MgCo2Ni: relaxed, PBE.

**Formation energy from the elements**: 0.099 eV/atom
**DOS at the Fermi energy**: 8.12 states/eV/cell
**ρ**: 6.74 g/cm³

abc: 3.031 3.969 8.222
angles: 90.00 90.00 90.00
Space group Immm (No. 71)
One atom of each set of equivalent atoms:
1 Mg 0.000 0.000 0.000
2 Co 0.000 0.500 0.242
3 Ni 0.000 0.000 0.500

***

Record 3
BaTc2Ag: relaxed, PBE.

**Formation energy from the elements**: 0.620 eV/atom
**DOS at the Fermi energy**: 8.03 states/eV/cell
**Polymorph energy (0 for the lowest one)**: 192.3 meV per atom
**ρ**: 6.92 g/cm³

abc: 9.644 3.819 6.006
angles: 90.00 106.68 90.00
Space group C2/m (No. 12)
One atom of each set of equivalent atoms:
1 Ba 0.000 0.000 0.000
2 Tc 0.228 0.000 0.595
3 Ag 0.000 0.500 0.500

***

Record 4
TbAl4AgPd2: relaxed, PBE.

**Formation energy from the elements**: -0.554 eV/atom
**DOS at the Fermi energy**: 9.06 states/eV/cell
**ρ**: 6.82 g/cm³

abc: 4.3097 4.3097 26.6836
angles: 90.00 90.00 120.00
Space group R-3m (No. 166, hexagonal axes)
One atom of each set of equivalent atoms:
1 Tb 0.0000 0.0000 0.0000
2 Al 0.0000 0.0000 0.1256
3 Al 0.0000 0.0000 0.4001
4 Ag 0.0000 0.0000 0.5000
5 Pd 0.0000 0.0000 0.2405

***

Record 5
GaNiGe2Cl: relaxed, PBE.

**DOS at the Fermi energy**: 4.85 states/eV/cell
**VASP energy**: -2.9748 eV/atom
**ρ**: 4.23 g/cm³

abc: 4.894 4.894 5.064
angles: 90.00 90.00 90.00
Space group P4/mmm (No. 123)
One atom of each set of equivalent atoms:
1 Ga 0.000 0.000 0.000
2 Ni 0.500 0.500 0.000
3 Ge 0.000 0.500 0.500
4 Cl 0.000 0.000 0.500

***

Record 6
TmCo3GeP: relaxed, PBE.

**Formation energy from the elements**: -0.389 eV/atom
**DOS at the Fermi energy**: 19.28 states/eV/cell
**ρ**: 8.42 g/cm³

abc: 6.264 10.920 5.179
angles: 90.00 90.00 90.00
Space group Cmcm (No. 63)
One atom of each set of equivalent atoms:
1 Tm 0.000 0.203 0.250
2 Co 0.000 0.329 0.750
3 Co 0.197 0.000 0.000
4 Ge 0.000 0.455 0.250
5 P 0.000 0.127 0.750

***

Record 7
MnCu2AuI: relaxed, PBE.

**DOS at the Fermi energy**: 3.25 states/eV/cell
**VASP energy**: -3.7840 eV/atom
**ρ**: 6.96 g/cm³

abc: 4.867 4.867 5.096
angles: 90.00 90.00 90.00
Space group P4/mmm (No. 123)
One atom of each set of equivalent atoms:
1 Mn 0.000 0.000 0.000
2 Cu 0.000 0.500 0.500
3 Au 0.000 0.000 0.500
4 I 0.500 0.500 0.000

***

Record 8
Zr2BeAl: relaxed, PBE.

**Formation energy from the elements**: -0.200 eV/atom
**DOS at the Fermi energy**: 5.58 states/eV/cell
**Polymorph energy (0 for the lowest one)**: 41.8 meV per atom
**ρ**: 5.08 g/cm³

abc: 4.294 4.294 7.741
angles: 90.00 90.00 90.00
Space group I4/mmm (No. 139)
One atom of each set of equivalent atoms:
1 Zr 0.000 0.500 0.250
2 Be 0.000 0.000 0.000
3 Al 0.000 0.000 0.500